Computed, not measured: a geometry-optimized Mn3FeP4O16 structure at the PBE+U level of DFT.

Lattice parameters (Å, degrees): 19.5790 11.8113 4.8274 90.00 90.39 90.00
Closest atoms and distances in Å follow each position.
Space group Cm (No. 8)
Symmetry-distinct sites (fractional):
Mn  0.0000  0.0000  0.0000  4 O 1.89-2.06
Mn  0.0318  0.2519  0.4857  4 O 1.91-2.03
Mn  0.2496  0.0000  0.3345  4 O 1.90-2.03
Mn  0.2837  0.2486  0.8439  4 O 1.89-2.03
Fe  0.0047  0.5000  0.9845  4 O 1.89-1.99
Fe  0.2526  0.5000  0.3653  4 O 1.91-1.97
P  0.0938  0.0000  0.5223  4 O 1.54-1.57
P  0.0953  0.5000  0.5252  4 O 1.53-1.59
P  0.1895  0.2545  0.3197  4 O 1.53-1.57
P  0.3429  0.5000  0.8272  4 O 1.53-1.57
P  0.3458  0.0000  0.8124  4 O 1.53-1.57
P  0.4403  0.2458  0.0207  4 O 1.53-1.58
O  0.0581  0.1029  0.6666  1 P 1.57
O  0.0577  0.3985  0.6760  1 P 1.59
O  0.0825  0.0000  0.2052  1 P 1.55
O  0.0842  0.5000  0.2099  1 P 1.54
O  0.1124  0.2530  0.2647  1 P 1.53
O  0.1714  0.0000  0.5724  1 P 1.54
O  0.1718  0.5000  0.5905  1 P 1.53
O  0.2013  0.2501  0.6358  1 P 1.54
O  0.2249  0.3585  0.1800  1 P 1.56
O  0.2257  0.1534  0.1688  1 P 1.57
O  0.3072  0.3995  0.6695  1 P 1.57
O  0.3100  0.1020  0.6632  1 P 1.57
O  0.3319  0.0000  0.1268  1 P 1.54
O  0.3327  0.5000  0.1410  1 P 1.53
O  0.3633  0.2493  0.0771  1 P 1.53
O  0.4203  0.5000  0.7713  1 P 1.54
O  0.4231  0.0000  0.7625  1 P 1.53
O  0.4517  0.2486  0.7078  1 P 1.53
O  0.4761  0.1429  0.1705  1 P 1.58
O  0.4774  0.3462  0.1762  1 P 1.58

V (Å³ per cell): 1116.33
Relative energy among the computed polymorphs (meV/atom): 158
Crystal system: monoclinic
E_tot (eV per atom): -7.18